(1)
# Ac3Tl4Hg4

Ac3Tl4Hg4 after structural relaxation (PBE, Alexandria via LeMat-Bulk).

a b c (Å): 4.0037 5.2716 16.2689
angles (deg): 80.90 82.99 89.98
With the nearest neighbours (Å) after each atom.
Fractional positions:
1 Ac 0.0000 0.0000 0.0000  4 Tl 3.55-3.56, 8 Hg 3.61-3.63
2 Ac 0.1412 0.6386 0.7191  6 Hg 3.60-3.63, 6 Tl 3.64-3.73, 2 Ac 4.00
3 Ac 0.8588 0.3614 0.2809  6 Hg 3.60-3.63, 6 Tl 3.64-3.73, 2 Ac 4.00
4 Tl 0.2619 0.2624 0.4779  4 Hg 3.13-3.15, 4 Tl 3.37-3.40
5 Tl 0.4097 0.9100 0.1844  3 Hg 2.97-3.02
6 Tl 0.5903 0.0900 0.8156  3 Hg 2.97-3.02
7 Tl 0.7381 0.7376 0.5221  4 Hg 3.13-3.15, 4 Tl 3.37-3.40
8 Hg 0.3118 0.8167 0.3706  5 Tl 2.97-3.15
9 Hg 0.4504 0.4554 0.0916  1 Hg 2.92, 2 Tl 3.02
10 Hg 0.5496 0.5446 0.9084  1 Hg 2.92, 2 Tl 3.02
11 Hg 0.6882 0.1833 0.6294  5 Tl 2.97-3.15

Results
The total energy comes out at -2.396 eV per atom.

***

(2)
# SrInSn3

SrInSn3 after structural relaxation (PBE, Alexandria via LeMat-Bulk).

a b c (Å): 5.6746 5.6746 5.6746
angles (deg): 90.00 90.00 90.00
With the nearest neighbours (Å) after each atom.
Fractional positions:
1 Sr 0.0000 0.0000 0.0000  12 Sn 4.01
2 In 0.5000 0.5000 0.5000  6 Sn 2.84
3 Sn 0.0000 0.5000 0.5000  2 In 2.84
4 Sn 0.5000 0.0000 0.5000  2 In 2.84
5 Sn 0.5000 0.5000 0.0000  2 In 2.84

Results
The total energy comes out at -3.138 eV per atom. The calculation puts the excess energy over the best structure of this formula in the dataset at 402 meV/atom.

***

(3)
# YEr2Rh3

YEr2Rh3 after structural relaxation (PBE, Alexandria via LeMat-Bulk).

a b c (Å): 3.4109 3.4109 10.2172
angles (deg): 90.00 90.00 90.00
With the nearest neighbours (Å) after each atom.
Fractional positions:
1 Y 0.0000 0.0000 0.0000  8 Rh 2.98
2 Er 0.0000 0.0000 0.3344  8 Rh 2.93-2.95
3 Er 0.0000 0.0000 0.6656  8 Rh 2.93-2.95
4 Rh 0.5000 0.5000 0.1711  4 Er 2.93, 4 Y 2.98
5 Rh 0.5000 0.5000 0.5000  8 Er 2.95
6 Rh 0.5000 0.5000 0.8289  4 Er 2.93, 4 Y 2.98

Results
The total energy comes out at -7.178 eV per atom.